Record 1
Density functional theory data (GGA-PBE) for an optimized crystal structure of PdSeBr2.

Calculated values
Energy   -9.6 eV for the cell shown
Crystal system   cubic
Space-group type   Fm-3m

Lattice parameters (Å, degrees): 4.959 4.959 4.959 60.00 60.00 60.00
Positions (direct):
1 Se 0.000 0.000 0.000
2 Br 0.250 0.250 0.250
3 Br 0.750 0.750 0.750
4 Pd 0.500 0.500 0.500

Record 2
Density functional theory data (GGA-PBE) for an optimized crystal structure of PdSe2Br.

Calculated values
Energy   -57.8 eV for the cell shown
Crystal system   orthorhombic
Offset from the most stable computed form   0.1028 eV per atom
Space-group type   Pnma

Lattice parameters (Å, degrees): 8.878 3.769 12.804 90.00 90.00 90.00
Positions (direct):
1 Se 0.644 0.250 0.574
2 Se 0.856 0.750 0.074
3 Se 0.356 0.750 0.426
4 Se 0.144 0.250 0.926
5 Se 0.326 0.250 0.695
6 Se 0.174 0.750 0.195
7 Se 0.674 0.750 0.305
8 Se 0.826 0.250 0.805
9 Br 0.086 0.250 0.610
10 Br 0.414 0.750 0.110
11 Br 0.914 0.750 0.390
12 Br 0.586 0.250 0.890
13 Pd 0.530 0.250 0.385
14 Pd 0.970 0.750 0.885
15 Pd 0.470 0.750 0.615
16 Pd 0.030 0.250 0.115

Record 3
Density functional theory data (GGA-PBE) for an optimized crystal structure of PdSe2Br.

Calculated values
Energy   -29.6 eV for the cell shown
Crystal system   triclinic
Offset from the most stable computed form   0.0163 eV per atom
Space-group type   P-1

Lattice parameters (Å, degrees): 6.444 3.824 10.968 68.64 88.79 107.35
Positions (direct):
1 Pd 0.933 0.474 0.467
2 Pd 0.335 0.417 0.234
3 Br 0.822 0.169 0.713
4 Br 0.446 0.721 0.988
5 Se 0.202 0.099 0.476
6 Se 0.657 0.836 0.465
7 Se 0.610 0.055 0.236
8 Se 0.066 0.792 0.224

The highest energy belongs to which entry? PdSeBr2

energy of number 1 (PdSeBr2)? -9.6 eV for the cell shown

Please write out number 3 again, unchanged.
Density functional theory data (GGA-PBE) for an optimized crystal structure of PdSe2Br.

Calculated values
Energy   -29.6 eV for the cell shown
Crystal system   triclinic
Offset from the most stable computed form   0.0163 eV per atom
Space-group type   P-1

Lattice parameters (Å, degrees): 6.444 3.824 10.968 68.64 88.79 107.35
Positions (direct):
1 Pd 0.933 0.474 0.467
2 Pd 0.335 0.417 0.234
3 Br 0.822 0.169 0.713
4 Br 0.446 0.721 0.988
5 Se 0.202 0.099 0.476
6 Se 0.657 0.836 0.465
7 Se 0.610 0.055 0.236
8 Se 0.066 0.792 0.224

Among the records above, which one has the lowest energy? number 2